NaCo2O4: relaxed, PBE with a Hubbard U.

## Properties
* uncorrected energy: -5.458 eV/atom
* relative energy among the computed polymorphs: 0.148 eV per atom
* D(E_F): 1.23 states/eV/cell
* symmetry: C2/m, No. 12

Unit cell a=2.871 b=2.871 c=10.288 alpha=98.09 beta=98.09 gamma=60.00
Element x y z (fractional)
Na1 0.000 0.000 0.000
Co1 0.422 0.422 0.263
Co2 0.578 0.578 0.737
O1 0.117 0.117 0.349
O2 0.280 0.280 0.839
O3 0.720 0.720 0.161
O4 0.883 0.883 0.651